Record 1
## AcNd5HoEr2 (PBE)

Data for an optimized crystal structure of AcNd5HoEr2.

abc: 5.558 12.538 9.505
angles: 90.00 90.00 102.81
Element x y z (fractional)
Nd (0.475, 0.951, 0.755)
Nd (0.393, 0.786, 0.031)
Nd (0.310, 0.621, 0.722)
Nd (0.010, 0.021, 0.539)
Nd (0.259, 0.518, 0.359)
Nd (0.607, 0.214, 0.531)
Nd (0.741, 0.482, 0.859)
Nd (0.690, 0.379, 0.222)
Nd (0.990, 0.979, 0.039)
Nd (0.525, 0.049, 0.255)
Er (0.175, 0.349, 0.674)
Er (0.112, 0.225, 0.285)
Er (0.888, 0.775, 0.785)
Er (0.825, 0.651, 0.174)
Ho (0.763, 0.527, 0.534)
Ho (0.237, 0.473, 0.034)
Ac (0.602, 0.204, 0.925)
Ac (0.398, 0.796, 0.425)

Summary:
- Space-group type: Cmc2_1 (36)
- Volume: 35.88 A^3/atom
- Calculated density: 7.4 g/cm³
- Total moment: 0.000 μB per atom
- Energy of formation: 14 kJ/mol of atoms

Record 2
## ThBiSe (PBE)

Data for an optimized crystal structure of ThBiSe.

abc: 3.816 3.816 6.576
angles: 106.87 106.87 90.00
Element x y z (fractional)
Th (0.697, 0.697, 0.394)
Bi (0.001, 0.001, 0.001)
Se (0.302, 0.302, 0.605)

Summary:
- Space-group type: I4mm (107)
- Volume: 29.12 A^3/atom
- Calculated density: 9.9 g/cm³
- Electronic total energy: -5.8493 eV/atom
- Total moment: 0.000 μB per atom

Record 3
## Ce4PuP5 (PBE)

Data for an optimized crystal structure of Ce4PuP5.

abc: 4.074 4.074 14.694
angles: 97.97 97.97 90.00
Last column: magnetic moment on the atom in μB.
Element x y z (fractional)
P (0.500, 0.500, 0.000)  -0.11
P (0.901, 0.901, 0.802)  -0.04
P (0.700, 0.700, 0.400)  -0.03
P (0.099, 0.099, 0.198)  -0.04
P (0.300, 0.300, 0.600)  -0.03
Ce (0.200, 0.200, 0.399)  0.50
Ce (0.401, 0.401, 0.801)  0.50
Ce (0.599, 0.599, 0.199)  0.50
Ce (0.800, 0.800, 0.601)  0.50
Pu (0.000, 0.000, 0.000)  5.02

Summary:
- Space-group type: I4/mmm (139)
- Volume: 23.91 A^3/atom
- Calculated density: 6.7 g/cm³
- Total moment: 0.739 μB per atom
- Excess energy over the best structure of this formula in the dataset: 2.3 meV per atom
- Energy of formation: -138 kJ/mol of atoms

Record 4
## VFe5Ni8 (PBE)

Data for an optimized crystal structure of VFe5Ni8.

abc: 6.029 6.029 6.029
angles: 109.05 110.32 109.05
Last column: magnetic moment on the atom in μB.
Element x y z (fractional)
Ni (0.548, 0.929, 0.864)  0.45
Ni (0.750, 0.277, 0.344)  0.51
Ni (0.527, 0.595, 0.250)  0.51
Ni (0.067, 0.723, 0.473)  0.51
Ni (0.136, 0.685, 0.066)  0.45
Ni (0.381, 0.315, 0.452)  0.45
Ni (0.934, 0.071, 0.619)  0.45
Ni (0.656, 0.405, 0.933)  0.51
Fe (0.500, 0.000, 0.500)  2.77
Fe (0.276, 0.084, 0.980)  2.64
Fe (0.896, 0.916, 0.192)  2.64
Fe (0.808, 0.704, 0.724)  2.64
Fe (0.020, 0.296, 0.104)  2.64
V (0.250, 0.500, 0.750)  -0.91

Summary:
- Space-group type: I-4 (82)
- Volume: 12.05 A^3/atom
- Calculated density: 7.9 g/cm³
- Total moment: 1.130 μB per atom
- Energy of formation: 19 kJ/mol of atoms

Record 5
## SrCrSe2 (PBE)

Data for an optimized crystal structure of SrCrSe2.

abc: 6.339 6.339 7.780
angles: 65.96 65.96 90.00
Last column: magnetic moment on the atom in μB.
Element x y z (fractional)
Cr (0.250, 0.750, 0.500)  3.56
Cr (0.500, 0.500, 0.000)  3.56
Se (0.875, 0.806, 0.750)  -0.04
Se (0.194, 0.625, 0.250)  -0.05
Se (0.375, 0.444, 0.750)  -0.06
Se (0.556, 0.125, 0.250)  -0.07
Sr (0.000, 0.000, 0.000)  0.03
Sr (0.750, 0.250, 0.500)  0.03

Summary:
- Space-group type: I-42d (122)
- Volume: 31.94 A^3/atom
- Calculated density: 3.9 g/cm³
- Total moment: 1.000 μB per atom
- Excess energy over the best structure of this formula in the dataset: 113.7 meV per atom

Record 6
## YBiRhAu2 (PBE)

Data for an optimized crystal structure of YBiRhAu2.

abc: 5.355 4.898 5.355
angles: 90.00 90.00 90.00
Element x y z (fractional)
Au (0.000, 0.000, 0.500)
Au (0.500, 0.000, 0.000)
Rh (0.000, 0.500, 0.000)
Y (0.000, 0.000, 0.000)
Bi (0.500, 0.500, 0.500)

Summary:
- Space-group type: P4/mmm (123)
- Volume: 28.10 A^3/atom
- Calculated density: 9.4 g/cm³
- Total moment: 0.000 μB per atom
- Energy of formation: 55 kJ/mol of atoms

Record 7
## CaYTh (PBE)

Data for an optimized crystal structure of CaYTh.

abc: 3.588 3.588 8.531
angles: 102.14 102.14 90.00
Element x y z (fractional)
Y (0.677, 0.677, 0.354)
Th (0.324, 0.324, 0.648)
Ca (0.999, 0.999, 0.997)

Summary:
- Space-group type: I4mm (107)
- Volume: 34.94 A^3/atom
- Calculated density: 5.7 g/cm³
- Total moment: 0.000 μB per atom
- Excess energy over the best structure of this formula in the dataset: 11.9 meV per atom
- Energy of formation: 10 kJ/mol of atoms

Record 8
## PuZnRu2 (PBE)

Data for an optimized crystal structure of PuZnRu2.

abc: 3.553 4.281 4.281
angles: 90.00 90.00 90.00
Last column: magnetic moment on the atom in μB.
Element x y z (fractional)
Zn (0.500, 0.000, 0.000)  0.01
Ru (0.000, 0.500, 0.000)  -0.79
Ru (0.000, 0.000, 0.500)  -0.79
Pu (0.500, 0.500, 0.500)  4.31

Summary:
- Space-group type: P4/mmm (123)
- Volume: 16.28 A^3/atom
- Calculated density: 13.0 g/cm³
- Total moment: 0.691 μB per atom
- Energy of formation: -16 kJ/mol of atoms